Record 1
Density functional theory data (PBE) for Er3Cu2Ag3 after structural relaxation.

a b c (Å): 7.266 7.266 3.662
angles (deg): 90.00 90.00 120.00
Fractional positions:
Er1 0.000 0.598 0.000
Er2 0.402 0.402 0.000
Er3 0.598 0.000 0.000
Cu1 0.333 0.667 0.500
Cu2 0.667 0.333 0.500
Ag1 0.000 0.238 0.500
Ag2 0.238 0.000 0.500
Ag3 0.762 0.762 0.500

## Properties
- Space-group type: P-62m (189)
- Density of states at the Fermi level: 3.74 states/eV per cell
- Calculated total energy: -32.7 eV/cell
- Volume: 20.93 Å³ per atom
- M_tot: 0.000 μB/atom
- E_form: -2.26 eV per formula unit

***

Record 2
Density functional theory data (PBE) for Er2Cu9Ag after structural relaxation.

a b c (Å): 8.657 8.657 8.657
angles (deg): 34.12 34.12 34.12
Fractional positions:
Er1 0.135 0.135 0.135
Er2 0.865 0.865 0.865
Cu1 0.079 0.584 0.584
Cu2 0.333 0.333 0.333
Cu3 0.416 0.416 0.921
Cu4 0.416 0.921 0.416
Cu5 0.500 0.500 0.500
Cu6 0.584 0.079 0.584
Cu7 0.584 0.584 0.079
Cu8 0.667 0.667 0.667
Cu9 0.921 0.416 0.416
Ag1 0.000 0.000 0.000

## Properties
- Space-group type: R-3m (166)
- Density of states at the Fermi level: 4.55 states/eV per cell
- Calculated total energy: -50.0 eV/cell
- Volume: 15.16 Å³ per atom
- M_tot: 0.000 μB/atom
- E_form: -1.12 eV per formula unit

***

Record 3
Density functional theory data (PBE) for Er2CuAg3 after structural relaxation.

a b c (Å): 3.424 4.614 8.024
angles (deg): 90.00 90.00 90.00
Fractional positions:
Er1 0.000 0.000 0.000
Er2 0.000 0.500 0.477
Cu1 0.500 0.000 0.315
Ag1 0.500 0.000 0.640
Ag2 0.500 0.500 0.163
Ag3 0.500 0.500 0.822

## Properties
- Space-group type: Pmm2 (25)
- Density of states at the Fermi level: 3.84 states/eV per cell
- Calculated total energy: -23.2 eV/cell
- Volume: 21.13 Å³ per atom
- M_tot: 0.000 μB/atom
- E_form: -1.40 eV per formula unit

***

Record 4
Density functional theory data (PBE) for ErCu4Ag after structural relaxation.

a b c (Å): 5.044 5.044 5.044
angles (deg): 60.00 60.00 60.00
Fractional positions:
Er1 0.000 0.000 0.000
Cu1 0.376 0.376 0.376
Cu2 0.376 0.376 0.873
Cu3 0.376 0.873 0.376
Cu4 0.873 0.376 0.376
Ag1 0.750 0.750 0.750

## Properties
- Space-group type: F-43m (216)
- Density of states at the Fermi level: 6.07 states/eV per cell
- Calculated total energy: -25.2 eV/cell
- Volume: 15.12 Å³ per atom
- M_tot: 0.000 μB/atom
- E_form: -1.39 eV per formula unit

***

Record 5
Density functional theory data (PBE) for Er2Cu2Ag3 after structural relaxation.

a b c (Å): 9.930 9.930 3.635
angles (deg): 90.00 90.00 157.52
Fractional positions:
Er1 0.159 0.841 0.000
Er2 0.841 0.159 0.000
Cu1 0.287 0.713 0.500
Cu2 0.713 0.287 0.500
Ag1 0.000 0.000 0.000
Ag2 0.428 0.572 0.500
Ag3 0.572 0.428 0.500

## Properties
- Space-group type: Cmmm (65)
- Density of states at the Fermi level: 2.47 states/eV per cell
- Calculated total energy: -27.5 eV/cell
- Volume: 19.58 Å³ per atom
- M_tot: 0.000 μB/atom
- E_form: -1.62 eV per formula unit

***

Record 6
Density functional theory data (PBE) for Er2Cu3Ag after structural relaxation.

a b c (Å): 8.718 8.331 5.570
angles (deg): 74.75 67.20 38.05
Fractional positions:
Er1 0.247 0.753 0.753
Er2 0.250 0.250 0.250
Er3 0.750 0.750 0.750
Er4 0.753 0.247 0.247
Cu1 0.161 0.677 0.323
Cu2 0.162 0.162 0.838
Cu3 0.323 0.839 0.161
Cu4 0.677 0.161 0.839
Cu5 0.838 0.838 0.162
Cu6 0.839 0.323 0.677
Ag1 0.333 0.333 0.667
Ag2 0.667 0.667 0.333

## Properties
- Space-group type: Fmmm (69)
- Density of states at the Fermi level: 7.39 states/eV per cell
- Calculated total energy: -51.4 eV/cell
- Volume: 19.10 Å³ per atom
- M_tot: 0.000 μB/atom
- E_form: -1.42 eV per formula unit

***

What is the density of states at the Fermi level in the fourth record?
6.07 states/eV per cell

***

Look up the E_form of the first one.
-2.26 eV per formula unit

***

What is the calculated total energy in the first record?
-32.7 eV/cell